[1]
DFT (PBE) results for a relaxed structure of CeErTm2Sb4.

Uncorrected energy in eV for the cell shown: -44.452
Symmetry: P2/m (10)
V in Å³ per cell: 238
Magnetic moment in Bohr magnetons per cell: 0.7

Lattice parameters (Å, degrees): 7.5837 4.3862 7.5872 90.00 109.47 90.00
Last column: nearest neighbours and their distance in Å.
Fractional positions:
Ce 0.0000 0.0000 0.0000  6 Sb 3.13-3.14
Er 0.0000 0.5000 0.5000  6 Sb 3.10
Tm 0.5000 0.0000 0.5000  6 Sb 3.06
Tm 0.5000 0.5000 0.0000  6 Sb 3.09
Sb 0.2537 0.0000 0.7479  3 Tm 3.06-3.09, 2 Er 3.10, 1 Ce 3.13
Sb 0.2568 0.5000 0.2561  3 Tm 3.06-3.09, 1 Er 3.10, 2 Ce 3.14
Sb 0.7432 0.5000 0.7439  3 Tm 3.06-3.09, 1 Er 3.10, 2 Ce 3.14
Sb 0.7463 0.0000 0.2521  3 Tm 3.06-3.09, 2 Er 3.10, 1 Ce 3.13

---

[2]
DFT (PBE) results for a relaxed structure of Sm5Ag2Hg.

Distance to the lowest polymorph of the same formula in meV/atom: 0
ΔE_f in kJ per mole of atoms: -21.1
Uncorrected energy in eV for the cell shown: -62.695
Symmetry: I4/mcm (140)
V in Å³ per cell: 452
Magnetic moment in Bohr magnetons per cell: 0.0

Lattice parameters (Å, degrees): 8.7784 8.7784 8.7784 123.33 123.33 84.32
Last column: nearest neighbours and their distance in Å.
Fractional positions:
Sm 0.0000 0.0000 0.0000  2 Hg 3.25, 4 Ag 3.26
Sm 0.0065 0.5065 0.8119  3 Ag 3.09-3.17, 2 Hg 3.41, 1 Sm 3.43
Sm 0.1946 0.0065 0.5000  3 Ag 3.09-3.17, 2 Hg 3.41, 1 Sm 3.43
Sm 0.3054 0.8054 0.8119  3 Ag 3.09-3.17, 2 Hg 3.41, 1 Sm 3.43
Sm 0.4935 0.3054 0.5000  3 Ag 3.09-3.17, 2 Hg 3.41, 1 Sm 3.43
Sm 0.5000 0.5000 0.0000  2 Hg 3.25, 4 Ag 3.26
Sm 0.5065 0.6946 0.5000  3 Ag 3.09-3.17, 2 Hg 3.41, 1 Sm 3.43
Sm 0.6946 0.1946 0.1881  3 Ag 3.09-3.17, 2 Hg 3.41, 1 Sm 3.43
Sm 0.8054 0.9935 0.5000  3 Ag 3.09-3.17, 2 Hg 3.41, 1 Sm 3.43
Sm 0.9935 0.4935 0.1881  3 Ag 3.09-3.17, 2 Hg 3.41, 1 Sm 3.43
Ag 0.1318 0.3682 0.5000  8 Sm 3.09-3.26, 1 Ag 3.11
Ag 0.3682 0.8682 0.2363  8 Sm 3.09-3.26, 1 Ag 3.11
Ag 0.6318 0.1318 0.7637  8 Sm 3.09-3.26, 1 Ag 3.11
Ag 0.8682 0.6318 0.5000  8 Sm 3.09-3.26, 1 Ag 3.11
Hg 0.2500 0.2500 0.0000  10 Sm 3.25-3.41
Hg 0.7500 0.7500 0.0000  10 Sm 3.25-3.41

---

[3]
DFT (PBE) results for a relaxed structure of DyYSiIr.

Uncorrected energy in eV for the cell shown: -57.600
Symmetry: Amm2 (38)
V in Å³ per cell: 176
Magnetic moment in Bohr magnetons per cell: 0.0

Lattice parameters (Å, degrees): 4.0114 4.1831 10.4957 90.00 90.00 90.00
Last column: nearest neighbours and their distance in Å.
Fractional positions:
Dy 0.0000 0.0000 0.0000  3 Ir 2.98-3.09, 4 Si 3.00
Dy 0.0000 0.5000 0.5000  3 Ir 2.98-3.09, 4 Si 3.00
Y 0.5000 0.0000 0.2835  4 Ir 2.98, 3 Si 3.02-3.06
Y 0.5000 0.5000 0.7835  4 Ir 2.98, 3 Si 3.02-3.06
Si 0.5000 0.0000 0.5755  2 Ir 2.49
Si 0.5000 0.5000 0.0755  2 Ir 2.49
Ir 0.0000 0.0000 0.7165  2 Si 2.49
Ir 0.0000 0.5000 0.2165  2 Si 2.49

---

[4]
DFT (PBE) results for a relaxed structure of Pa2FeCo3.

ΔE_f in kJ per mole of atoms: -31.6
Uncorrected energy in eV for the cell shown: -50.734
Symmetry: R-3m (166)
V in Å³ per cell: 86
Magnetic moment in Bohr magnetons per cell: 0.0

Lattice parameters (Å, degrees): 4.9904 4.9904 4.9904 59.25 59.25 59.25
Last column: nearest neighbours and their distance in Å.
Fractional positions:
Pa 0.1254 0.1254 0.1254  3 Fe 2.89, 9 Co 2.91-2.93, 4 Pa 3.02-3.08
Pa 0.8746 0.8746 0.8746  3 Fe 2.89, 9 Co 2.91-2.93, 4 Pa 3.02-3.08
Fe 0.5000 0.5000 0.5000  6 Co 2.50
Co 0.0000 0.5000 0.5000  4 Co 2.47, 2 Fe 2.50
Co 0.5000 0.0000 0.5000  4 Co 2.47, 2 Fe 2.50
Co 0.5000 0.5000 0.0000  4 Co 2.47, 2 Fe 2.50

---

[5]
DFT (PBE) results for a relaxed structure of Mg2BiPb6.

ΔE_f in kJ per mole of atoms: 1.1
Uncorrected energy in eV for the cell shown: -29.214
Symmetry: P-6m2 (187)
V in Å³ per cell: 270
Magnetic moment in Bohr magnetons per cell: 0.0

Lattice parameters (Å, degrees): 3.4475 3.4475 26.2713 90.00 90.00 120.00
Last column: nearest neighbours and their distance in Å.
Fractional positions:
Mg 0.0000 0.0000 0.1661  6 Pb 3.28-3.30, 6 Mg 3.45
Mg 0.0000 0.0000 0.8339  6 Pb 3.28-3.30, 6 Mg 3.45
Bi 0.6667 0.3333 0.5000  6 Bi 3.45, 6 Pb 3.60
Pb 0.0000 0.0000 0.3858  9 Pb 3.45-3.71, 3 Bi 3.60
Pb 0.0000 0.0000 0.6142  9 Pb 3.45-3.71, 3 Bi 3.60
Pb 0.6667 0.3333 0.0668  3 Mg 3.28, 7 Pb 3.45-3.51
Pb 0.6667 0.3333 0.2664  3 Mg 3.30, 6 Pb 3.45
Pb 0.6667 0.3333 0.7336  3 Mg 3.30, 6 Pb 3.45
Pb 0.6667 0.3333 0.9332  3 Mg 3.28, 7 Pb 3.45-3.51

---

[6]
DFT (PBE) results for a relaxed structure of Ca2CoOs.

Distance to the lowest polymorph of the same formula in meV/atom: 194
ΔE_f in kJ per mole of atoms: 31.4
Uncorrected energy in eV for the cell shown: -42.075
Symmetry: Imm2 (44)
V in Å³ per cell: 175
Magnetic moment in Bohr magnetons per cell: 0.0

Lattice parameters (Å, degrees): 4.0189 4.9185 8.8622 90.00 90.00 90.00
Last column: nearest neighbours and their distance in Å.
Fractional positions:
Ca 0.0000 0.0000 0.0000  4 Co 3.05-3.30, 4 Ca 3.08-3.27, 4 Os 3.28
Ca 0.0000 0.5000 0.2092  4 Os 3.02-3.35, 4 Ca 3.08-3.27, 4 Co 3.27
Ca 0.5000 0.0000 0.7092  4 Os 3.02-3.35, 4 Ca 3.08-3.27, 4 Co 3.27
Ca 0.5000 0.5000 0.5000  4 Co 3.05-3.30, 4 Ca 3.08-3.27, 4 Os 3.28
Co 0.0000 0.5000 0.7958  2 Os 2.24
Co 0.5000 0.0000 0.2958  2 Os 2.24
Os 0.0000 0.0000 0.4070  2 Co 2.24
Os 0.5000 0.5000 0.9070  2 Co 2.24

---

[7]
DFT (PBE) results for a relaxed structure of V2CuH4.

Uncorrected energy in eV for the cell shown: -71.572
Symmetry: C2/c (15)
V in Å³ per cell: 108
Magnetic moment in Bohr magnetons per cell: 0.0

Lattice parameters (Å, degrees): 5.3229 5.3229 5.3742 119.96 119.96 89.45
Last column: nearest neighbours and their distance in Å.
Fractional positions:
V 0.0000 0.0000 0.0000  6 H 1.84-1.85
V 0.0000 0.0000 0.5000  6 H 1.84-1.85
V 0.0000 0.5000 0.0000  6 H 1.84-1.85
V 0.5000 0.0000 0.5000  6 H 1.84-1.85
Cu 0.3754 0.6246 0.7500  4 H 1.72
Cu 0.6246 0.3754 0.2500  4 H 1.72
H 0.2314 0.2390 0.9831  1 Cu 1.72, 3 V 1.84-1.85
H 0.2390 0.2314 0.4831  1 Cu 1.72, 3 V 1.84-1.85
H 0.2443 0.7517 0.4835  1 Cu 1.72, 3 V 1.84-1.85
H 0.2483 0.7557 0.0165  1 Cu 1.72, 3 V 1.84-1.85
H 0.7517 0.2443 0.9835  1 Cu 1.72, 3 V 1.84-1.85
H 0.7557 0.2483 0.5165  1 Cu 1.72, 3 V 1.84-1.85
H 0.7610 0.7686 0.5169  1 Cu 1.72, 3 V 1.84-1.85
H 0.7686 0.7610 0.0169  1 Cu 1.72, 3 V 1.84-1.85

---

[8]
DFT (PBE) results for a relaxed structure of RbSiAs3.

Distance to the lowest polymorph of the same formula in meV/atom: 0
Uncorrected energy in eV for the cell shown: -41.905
Symmetry: P1 (1)
V in Å³ per cell: 313
Magnetic moment in Bohr magnetons per cell: 0.0

Lattice parameters (Å, degrees): 6.6581 6.6936 7.6281 106.84 94.00 103.21
Last column: nearest neighbours and their distance in Å.
Fractional positions:
Rb 0.0000 0.0000 0.0000  5 As 3.40-3.80
Rb 0.4578 0.7144 0.2178  6 As 3.57-3.93, 1 Si 3.62
Si 0.2374 0.5747 0.6005  1 Si 2.33, 3 As 2.34-2.45
Si 0.9185 0.4179 0.6759  2 As 2.29-2.37, 1 Si 2.33
As 0.3633 0.2544 0.4658  1 Si 2.45, 2 As 2.53
As 0.4109 0.2077 0.7827  3 As 2.46-2.53
As 0.5200 0.8726 0.7476  1 Si 2.34, 1 As 2.46
As 0.7244 0.2894 0.3752  1 Si 2.37, 2 As 2.52-2.53
As 0.7679 0.4212 0.9379  1 Si 2.29, 1 As 2.48
As 0.9478 0.6736 0.4714  2 Si 2.41-2.62, 1 As 2.52

---

[9]
DFT (PBE) results for a relaxed structure of LiCeCuSn.

ΔE_f in kJ per mole of atoms: -34.1
Uncorrected energy in eV for the cell shown: -69.446
Symmetry: F-43m (216)
V in Å³ per cell: 315
Magnetic moment in Bohr magnetons per cell: 3.4

Lattice parameters (Å, degrees): 6.8043 6.8043 6.8043 90.00 90.00 90.00
Last column: nearest neighbours and their distance in Å.
Fractional positions:
Li 0.0000 0.0000 0.0000  4 Sn 2.95, 4 Ce 2.95
Li 0.0000 0.5000 0.5000  4 Sn 2.95, 4 Ce 2.95
Li 0.5000 0.0000 0.5000  4 Sn 2.95, 4 Ce 2.95
Li 0.5000 0.5000 0.0000  4 Sn 2.95, 4 Ce 2.95
Ce 0.2500 0.2500 0.2500  4 Li 2.95, 4 Cu 2.95
Ce 0.2500 0.7500 0.7500  4 Li 2.95, 4 Cu 2.95
Ce 0.7500 0.2500 0.7500  4 Li 2.95, 4 Cu 2.95
Ce 0.7500 0.7500 0.2500  4 Li 2.95, 4 Cu 2.95
Cu 0.0000 0.0000 0.5000  4 Ce 2.95, 4 Sn 2.95
Cu 0.0000 0.5000 0.0000  4 Ce 2.95, 4 Sn 2.95
Cu 0.5000 0.0000 0.0000  4 Ce 2.95, 4 Sn 2.95
Cu 0.5000 0.5000 0.5000  4 Ce 2.95, 4 Sn 2.95
Sn 0.2500 0.2500 0.7500  4 Cu 2.95, 4 Li 2.95
Sn 0.2500 0.7500 0.2500  4 Cu 2.95, 4 Li 2.95
Sn 0.7500 0.2500 0.2500  4 Cu 2.95, 4 Li 2.95
Sn 0.7500 0.7500 0.7500  4 Cu 2.95, 4 Li 2.95

---

[10]
DFT (PBE) results for a relaxed structure of LiSc2Bi.

ΔE_f in kJ per mole of atoms: 20.2
Uncorrected energy in eV for the cell shown: -52.865
Symmetry: R-3m (166)
V in Å³ per cell: 319
Magnetic moment in Bohr magnetons per cell: 0.9

Lattice parameters (Å, degrees): 3.3511 3.3511 32.8148 90.00 90.00 120.00
Last column: nearest neighbours and their distance in Å.
Fractional positions:
Li 0.0000 0.0000 0.0000  6 Sc 3.14, 6 Li 3.35
Li 0.3333 0.6667 0.6667  6 Sc 3.14, 6 Li 3.35
Li 0.6667 0.3333 0.3333  6 Sc 3.14, 6 Li 3.35
Sc 0.0000 0.0000 0.4088  1 Bi 2.99, 3 Li 3.14, 6 Sc 3.35
Sc 0.0000 0.0000 0.5912  1 Bi 2.99, 3 Li 3.14, 6 Sc 3.35
Sc 0.3333 0.6667 0.0754  1 Bi 2.99, 3 Li 3.14, 6 Sc 3.35
Sc 0.3333 0.6667 0.2579  1 Bi 2.99, 3 Li 3.14, 6 Sc 3.35
Sc 0.6667 0.3333 0.7421  1 Bi 2.99, 3 Li 3.14, 6 Sc 3.35
Sc 0.6667 0.3333 0.9246  1 Bi 2.99, 3 Li 3.14, 6 Sc 3.35
Bi 0.0000 0.0000 0.5000  2 Sc 2.99, 6 Bi 3.35
Bi 0.3333 0.6667 0.1667  2 Sc 2.99, 6 Bi 3.35
Bi 0.6667 0.3333 0.8333  2 Sc 2.99, 6 Bi 3.35

---

[11]
DFT (PBE) results for a relaxed structure of LiHg2MoCl.

Uncorrected energy in eV for the cell shown: -11.736
Symmetry: P4/mmm (123)
V in Å³ per cell: 127
Magnetic moment in Bohr magnetons per cell: 4.5

Lattice parameters (Å, degrees): 4.8941 4.8941 5.2867 90.00 90.00 90.00
Last column: nearest neighbours and their distance in Å.
Fractional positions:
Li 0.0000 0.0000 0.0000  4 Hg 2.45, 2 Mo 2.64
Hg 0.0000 0.5000 0.0000  2 Li 2.45
Hg 0.5000 0.0000 0.0000  2 Li 2.45
Mo 0.0000 0.0000 0.5000  2 Li 2.64
Cl 0.5000 0.5000 0.5000  4 Mo 3.46, 8 Hg 3.60

---

[12]
DFT (PBE) results for a relaxed structure of Ce2PuGaN5.

Uncorrected energy in eV for the cell shown: -160.059
Symmetry: Cmc2_1 (36)
V in Å³ per cell: 245
Magnetic moment in Bohr magnetons per cell: 8.0

Lattice parameters (Å, degrees): 7.1327 7.1327 10.3314 90.00 90.00 152.23
Last column: nearest neighbours and their distance in Å.
Fractional positions:
Ce 0.1146 0.8854 0.5000  8 N 2.43-2.72
Ce 0.1316 0.8684 0.0965  5 N 2.42-2.55
Ce 0.8684 0.1316 0.5965  5 N 2.42-2.55
Ce 0.8854 0.1146 0.0000  8 N 2.43-2.72
Pu 0.2062 0.7938 0.8088  6 N 2.17-2.26
Pu 0.7938 0.2062 0.3088  6 N 2.17-2.26
Ga 0.4927 0.5073 0.2782  4 N 1.96-2.05
Ga 0.5073 0.4927 0.7782  4 N 1.96-2.05
N 0.0480 0.9520 0.8532  2 Ga 1.96
N 0.2862 0.7138 0.4511  2 Pu 2.26, 1 Ce 2.43
N 0.3003 0.6997 0.1663  2 Pu 2.26, 1 Ce 2.44
N 0.3626 0.6374 0.8195  1 Ga 2.05, 1 Pu 2.17
N 0.4921 0.5079 0.5886  1 Ga 1.97
N 0.5079 0.4921 0.0886  1 Ga 1.97
N 0.6374 0.3626 0.3195  1 Ga 2.05, 1 Pu 2.17
N 0.6997 0.3003 0.6663  2 Pu 2.26, 1 Ce 2.44
N 0.7138 0.2862 0.9511  2 Pu 2.26, 1 Ce 2.43
N 0.9520 0.0480 0.3532  2 Ga 1.96

---

Q: magnetic moment of number 6 (Ca2CoOs)?
A: 0.0 Bohr magnetons per cell